# Li3MoSe PBE relaxed
data_Li3MoSe
_cell_length_a 5.0612
_cell_length_b 5.0612
_cell_length_c 5.0612
_cell_angle_alpha 90.00
_cell_angle_beta 90.00
_cell_angle_gamma 90.00
_space_group_name_H-M_alt 'P m -3 m'
_space_group_IT_number 221
_space_group_name_Hall '-P 4 2 3'
loop_
_atom_site_label
_atom_site_fract_x
_atom_site_fract_y
_atom_site_fract_z
_atom_site_occupancy
Li1 0.0000 0.0000 0.5000 1
Mo1 0.0000 0.0000 0.0000 1
Se1 0.5000 0.5000 0.5000 1
# * ΔE_f (raw): 1001 meV/atom
# * offset from the most stable computed form: 695 meV per atom

# HoFe2PH PBE relaxed
data_HoFe2PH
_cell_length_a 3.5465
_cell_length_b 10.0635
_cell_length_c 6.8808
_cell_angle_alpha 90.00
_cell_angle_beta 90.00
_cell_angle_gamma 90.00
_space_group_name_H-M_alt 'C m c m'
_space_group_IT_number 63
_space_group_name_Hall '-C 2c 2'
loop_
_atom_site_label
_atom_site_fract_x
_atom_site_fract_y
_atom_site_fract_z
_atom_site_occupancy
Ho1 0.0000 0.0470 0.2500 1
Fe1 0.0000 0.3305 0.0578 1
P1 0.0000 0.2344 0.7500 1
H1 0.0000 0.5000 0.0000 1
# * E_tot: -133.687 eV per cell

# DyHoLuRu PBE relaxed
data_DyHoLuRu
_cell_length_a 7.2352
_cell_length_b 7.2352
_cell_length_c 7.2352
_cell_angle_alpha 90.00
_cell_angle_beta 90.00
_cell_angle_gamma 90.00
_space_group_name_H-M_alt 'F -4 3 m'
_space_group_IT_number 216
_space_group_name_Hall 'F -4 2 3'
loop_
_atom_site_label
_atom_site_fract_x
_atom_site_fract_y
_atom_site_fract_z
_atom_site_occupancy
Dy1 0.0000 0.0000 0.0000 1
Ho1 0.0000 0.0000 0.5000 1
Lu1 0.2500 0.2500 0.2500 1
Ru1 0.2500 0.2500 0.7500 1
# * calculated formation energy: 4.2 kJ/mol of atoms

# Cu2OsW PBE relaxed
data_Cu2OsW
_cell_length_a 2.6897
_cell_length_b 2.6897
_cell_length_c 26.7211
_cell_angle_alpha 90.00
_cell_angle_beta 90.00
_cell_angle_gamma 120.00
_space_group_name_H-M_alt 'R -3 m'
_space_group_IT_number 166
_space_group_name_Hall '-R 3 2"'
loop_
_atom_site_label
_atom_site_fract_x
_atom_site_fract_y
_atom_site_fract_z
_atom_site_occupancy
Cu1 0.0000 0.0000 0.2489 1
Os1 0.0000 0.0000 0.5000 1
W1 0.0000 0.0000 0.0000 1
# * calculated formation energy: 34.8 kJ/mol of atoms
# * offset from the most stable computed form: 139 meV per atom

# NbVC PBE relaxed
data_NbVC
_cell_length_a 5.2457
_cell_length_b 6.0391
_cell_length_c 5.3135
_cell_angle_alpha 90.00
_cell_angle_beta 114.30
_cell_angle_gamma 90.00
_space_group_name_H-M_alt 'P 1 21/c 1'
_space_group_IT_number 14
_space_group_name_Hall '-P 2ybc'
loop_
_atom_site_label
_atom_site_fract_x
_atom_site_fract_y
_atom_site_fract_z
_atom_site_occupancy
Nb1 0.2319 0.1214 0.4660 1
V1 0.2822 0.6279 0.5049 1
C1 0.4980 0.6247 0.2594 1
# * calculated formation energy: -36.4 kJ/mol of atoms
# * offset from the most stable computed form: 28 meV per atom

# NdZnGaHg PBE relaxed
data_NdZnGaHg
_cell_length_a 7.1149
_cell_length_b 7.1149
_cell_length_c 7.1149
_cell_angle_alpha 90.00
_cell_angle_beta 90.00
_cell_angle_gamma 90.00
_space_group_name_H-M_alt 'F -4 3 m'
_space_group_IT_number 216
_space_group_name_Hall 'F -4 2 3'
loop_
_atom_site_label
_atom_site_fract_x
_atom_site_fract_y
_atom_site_fract_z
_atom_site_occupancy
Nd1 0.0000 0.0000 0.0000 1
Zn1 0.2500 0.2500 0.2500 1
Ga1 0.0000 0.0000 0.5000 1
Hg1 0.2500 0.2500 0.7500 1
# * calculated formation energy: -27.5 kJ/mol of atoms

# LaTb5Cd4 PBE relaxed
data_LaTb5Cd4
_cell_length_a 3.7365
_cell_length_b 3.7365
_cell_length_c 20.2028
_cell_angle_alpha 90.00
_cell_angle_beta 90.00
_cell_angle_gamma 90.00
_space_group_name_H-M_alt 'P 4/m m m'
_space_group_IT_number 123
_space_group_name_Hall '-P 4 2'
loop_
_atom_site_label
_atom_site_fract_x
_atom_site_fract_y
_atom_site_fract_z
_atom_site_occupancy
La1 0.0000 0.0000 0.0000 1
Tb1 0.5000 0.5000 0.1249 1
Tb2 0.5000 0.5000 0.3127 1
Tb3 0.5000 0.5000 0.5000 1
Cd1 0.0000 0.0000 0.2178 1
Cd2 0.0000 0.0000 0.4056 1
# * calculated formation energy: -23.8 kJ/mol of atoms

# PuTlSe PBE relaxed
data_PuTlSe
_cell_length_a 3.5956
_cell_length_b 3.5956
_cell_length_c 13.5282
_cell_angle_alpha 90.00
_cell_angle_beta 90.00
_cell_angle_gamma 120.00
_space_group_name_H-M_alt 'P -3 m 1'
_space_group_IT_number 164
_space_group_name_Hall '-P 3 2"'
loop_
_atom_site_label
_atom_site_fract_x
_atom_site_fract_y
_atom_site_fract_z
_atom_site_occupancy
Pu1 0.3333 0.6667 0.0462 1
Tl1 0.0000 0.0000 0.3774 1
Se1 0.3333 0.6667 0.8080 1
# * ΔE_f (raw): -342 meV/atom
# * offset from the most stable computed form: 272 meV per atom